Sr2MnPdO6: optimized geometry, GGA+U.

a b c (Å): 5.624 5.624 10.045
angles (deg): 73.74 73.74 60.00
Sites, in units of the cell vectors:
Sr 0.880 0.880 0.359
Sr 0.120 0.120 0.641
Sr 0.712 0.712 0.864
Sr 0.288 0.288 0.136
Mn 0.000 0.000 0.000
Mn 0.500 0.500 0.500
Pd 0.590 0.590 0.230
Pd 0.410 0.410 0.770
O 0.853 0.387 0.372
O 0.387 0.853 0.372
O 0.387 0.387 0.372
O 0.147 0.613 0.628
O 0.613 0.147 0.628
O 0.613 0.613 0.628
O 0.731 0.197 0.875
O 0.197 0.731 0.875
O 0.197 0.197 0.875
O 0.269 0.803 0.125
O 0.803 0.269 0.125
O 0.803 0.803 0.125

## Properties
calculated total energy	-125.2	eV for the cell shown